1.
! Na3MgS (PBE-GGA, relaxed); values from VASP
&SYSTEM
  ibrav = 0, nat = 5, ntyp = 3
/
ATOMIC_SPECIES
Na 22.99 Na.upf
S 32.06 S.upf
Mg 24.30 Mg.upf
ATOMIC_POSITIONS angstrom
Na 0.0733 -1.9994 1.9545
Na -1.5168 1.6141 1.7080
Na -2.3488 -1.1047 -1.0420
S -3.7924 -1.4900 2.6205
Mg 0.0000 0.0000 0.0000
CELL_PARAMETERS angstrom
-4.6977 -2.2094 -2.0840
0.1465 -3.9988 3.9090
-3.0336 3.2281 3.4160
! - formation energy without anion corrections (eV per atom) = 0.3781
! - offset from the most stable computed form (meV per atom) = 748.4
! - total energy (eV per atom) = -1.56

2.
! Na3MgS (PBE-GGA, relaxed); values from VASP
&SYSTEM
  ibrav = 0, nat = 5, ntyp = 3
/
ATOMIC_SPECIES
Na 22.99 Na.upf
S 32.06 S.upf
Mg 24.30 Mg.upf
ATOMIC_POSITIONS angstrom
Na 2.6522 -0.3828 -0.3588
Na 0.0380 -1.7037 2.0988
Na -0.5233 -2.0640 -1.6659
S 0.0000 0.0000 0.0000
Mg 2.1669 -4.1505 0.0741
CELL_PARAMETERS angstrom
-1.0466 -4.1280 -3.3319
5.3043 -0.7656 -0.7176
0.0761 -3.4074 4.1977
! - formation energy without anion corrections (eV per atom) = -0.3703
! - offset from the most stable computed form (meV per atom) = 0.0
! - total energy (eV per atom) = -2.31

3.
! NaMgS3 (PBE-GGA, relaxed); values from VASP
&SYSTEM
  ibrav = 0, nat = 5, ntyp = 3
/
ATOMIC_SPECIES
Na 22.99 Na.upf
S 32.06 S.upf
Mg 24.30 Mg.upf
ATOMIC_POSITIONS angstrom
Na 2.4309 2.4309 2.4309
S 0.0000 2.4309 0.0000
S 0.0000 0.0000 2.4309
S 2.4309 0.0000 0.0000
Mg 0.0000 0.0000 0.0000
CELL_PARAMETERS angstrom
4.8617 0.0000 0.0000
0.0000 4.8617 0.0000
0.0000 0.0000 4.8617
! - formation energy without anion corrections (eV per atom) = -0.2378
! - offset from the most stable computed form (meV per atom) = 0.0
! - total energy (eV per atom) = -3.30

4.
! NaMg3S (PBE-GGA, relaxed); values from VASP
&SYSTEM
  ibrav = 0, nat = 5, ntyp = 3
/
ATOMIC_SPECIES
Na 22.99 Na.upf
S 32.06 S.upf
Mg 24.30 Mg.upf
ATOMIC_POSITIONS angstrom
Na 0.0000 0.0000 0.0000
S -0.7837 -2.6101 3.6806
Mg 1.5496 -0.1280 2.1386
Mg -2.1331 0.1544 1.5548
Mg -0.2002 -2.6365 -0.0128
CELL_PARAMETERS angstrom
-0.4004 -5.2729 -0.0256
3.0991 -0.2561 4.2772
-4.2661 0.3088 3.1096
! - formation energy without anion corrections (eV per atom) = 0.7332
! - offset from the most stable computed form (meV per atom) = 829.3
! - total energy (eV per atom) = -1.31

5.
! Na14Mg2S9 (PBE-GGA, relaxed); values from VASP
&SYSTEM
  ibrav = 0, nat = 25, ntyp = 3
/
ATOMIC_SPECIES
Na 22.99 Na.upf
Mg 24.30 Mg.upf
S 32.06 S.upf
ATOMIC_POSITIONS angstrom
Na 2.7618 -4.4643 10.1066
Na -0.9663 -3.8828 8.3948
Na 1.9860 -2.2083 6.4939
Na 1.5728 -0.1313 2.3271
Na 4.6560 -0.3886 6.8891
Na 3.4306 -0.3218 9.8883
Na 0.1359 -1.8079 12.0312
Na 0.3738 0.5597 5.2735
Na -0.6135 -0.0087 8.3749
Na -0.3757 2.3589 1.6173
Na -3.6703 0.8727 3.7602
Na -2.2258 2.7592 7.1545
Na 0.7265 4.4338 5.2536
Na -3.0016 5.0153 3.5418
Mg -1.9228 -1.8615 4.7093
Mg 1.6830 2.4125 8.9391
S -2.5694 -3.8640 6.0464
S 0.4852 -2.0301 4.0854
S -3.3228 -1.7447 2.6379
S 0.0000 0.0000 0.0000
S 2.0375 0.3588 7.5707
S -2.2773 0.1922 6.0777
S 3.0830 2.2956 11.0106
S -0.7250 2.5810 9.5631
S 2.3296 4.4150 7.6021
CELL_PARAMETERS angstrom
-2.2876 7.3187 1.9589
-4.1810 -6.2479 2.4733
6.2288 -0.5198 9.2162
! - formation energy without anion corrections (eV per atom) = -1.1402
! - total energy (eV per atom) = -3.49

6.
! NaMg2S (PBE-GGA, relaxed); values from VASP
&SYSTEM
  ibrav = 0, nat = 8, ntyp = 3
/
ATOMIC_SPECIES
Na 22.99 Na.upf
S 32.06 S.upf
Mg 24.30 Mg.upf
ATOMIC_POSITIONS angstrom
Na 4.2488 4.2488 0.0000
Na 4.2488 8.4976 1.3903
S 0.0000 0.0000 0.0000
S 8.4976 4.2488 1.3903
Mg 7.1324 2.1244 0.6952
Mg 1.3652 6.3732 0.6952
Mg 6.3732 5.6140 2.0855
Mg 10.6220 11.3812 2.0855
CELL_PARAMETERS angstrom
8.4976 0.0000 0.0000
0.0000 8.4976 0.0000
4.2488 4.2488 2.7807
! - formation energy without anion corrections (eV per atom) = -0.4325
! - total energy (eV per atom) = -2.59

7.
! Na2MgSbS4 (PBE-GGA, relaxed); values from VASP
&SYSTEM
  ibrav = 0, nat = 8, ntyp = 4
/
ATOMIC_SPECIES
Na 22.99 Na.upf
Mg 24.30 Mg.upf
Sb 121.76 Sb.upf
S 32.06 S.upf
ATOMIC_POSITIONS angstrom
Na -0.0005 3.2438 5.0777
Na -0.0017 -0.0013 2.4662
Mg 3.2443 0.0005 5.0747
Sb 3.2442 3.2449 2.4590
S 1.8805 1.6238 3.8178
S 4.8675 1.8842 1.1021
S 1.6240 4.6102 1.1037
S -1.8801 -1.6246 3.8258
CELL_PARAMETERS angstrom
6.4891 0.0018 -0.0075
0.0002 6.4911 -0.0078
-3.2448 -3.2473 5.2354
! - formation energy without anion corrections (eV per atom) = -0.8024
! - total energy (eV per atom) = -3.91

8.
! NaMgSb2S (PBE-GGA, relaxed); values from VASP
&SYSTEM
  ibrav = 0, nat = 5, ntyp = 4
/
ATOMIC_SPECIES
Sb 121.76 Sb.upf
S 32.06 S.upf
Mg 24.30 Mg.upf
Na 22.99 Na.upf
ATOMIC_POSITIONS angstrom
Sb -1.2111 0.0852 2.4661
Sb -2.3445 0.8169 -1.1797
S -0.6830 -2.3287 -0.2550
Mg 0.0000 0.0000 0.0000
Na -4.2387 -1.4266 1.0314
CELL_PARAMETERS angstrom
-4.6890 1.6337 -2.3593
-1.3661 -4.6573 -0.5100
-2.4223 0.1704 4.9322
! - formation energy without anion corrections (eV per atom) = 0.1203
! - total energy (eV per atom) = -2.94

9.
! Na3MgSc2S6 (PBE-GGA, relaxed); values from VASP
&SYSTEM
  ibrav = 0, nat = 12, ntyp = 4
/
ATOMIC_SPECIES
Na 22.99 Na.upf
Mg 24.30 Mg.upf
Sc 44.96 Sc.upf
S 32.06 S.upf
ATOMIC_POSITIONS angstrom
Na -2.1752 3.7578 3.3283
Na 4.3419 -0.0061 3.3283
Na 1.0834 1.8758 3.3283
Mg 0.0000 0.0000 0.0000
Sc -0.0001 3.7536 -0.0001
Sc 3.2513 1.8758 -0.0001
S 3.2624 1.8537 5.2135
S 2.1548 3.7310 1.4449
S -1.0957 1.8979 1.4432
S -0.0248 3.7522 5.2135
S 0.0119 0.0207 5.2117
S 2.1915 -0.0006 1.4432
CELL_PARAMETERS angstrom
6.5014 -0.0012 -0.0001
-3.2502 5.6306 -0.0001
-1.0845 -1.8778 6.6569
! - formation energy without anion corrections (eV per atom) = -1.4791
! - total energy (eV per atom) = -5.06

10.
! NaMgSc4S8 (PBE-GGA, relaxed); values from VASP
&SYSTEM
  ibrav = 0, nat = 14, ntyp = 4
/
ATOMIC_SPECIES
Na 22.99 Na.upf
Mg 24.30 Mg.upf
Sc 44.96 Sc.upf
S 32.06 S.upf
ATOMIC_POSITIONS angstrom
Na -7.3131 7.2327 1.5566
Mg -12.8187 2.7822 1.1279
Sc -8.3723 2.6118 0.8652
Sc -4.5062 3.9313 2.7390
Sc -4.6978 4.5176 -0.8856
Sc -1.5011 3.5545 0.6543
S -8.5985 6.2915 3.6362
S -8.8209 6.9718 -0.5697
S -5.1115 5.8542 1.2172
S -3.8735 2.6699 0.6367
S -7.1571 3.5341 -1.0806
S -6.9484 2.8956 2.8665
S -10.4295 3.9445 1.1895
S -11.7912 7.2651 1.7987
CELL_PARAMETERS angstrom
-6.6088 1.9912 -3.1836
-6.2126 0.7791 4.3097
-2.8616 7.0846 1.2973
! - formation energy without anion corrections (eV per atom) = -1.5687
! - total energy (eV per atom) = -5.94

11.
! NaMgSiS2 (PBE-GGA, relaxed); values from VASP
&SYSTEM
  ibrav = 0, nat = 5, ntyp = 4
/
ATOMIC_SPECIES
Mg 24.30 Mg.upf
Na 22.99 Na.upf
S 32.06 S.upf
Si 28.09 Si.upf
ATOMIC_POSITIONS angstrom
Mg 1.5254 -1.8123 -0.0064
Na 0.0000 0.0000 0.0000
S 0.4599 0.3786 2.3946
S -1.8309 -1.5433 0.5957
Si 0.1544 -2.9769 2.9838
CELL_PARAMETERS angstrom
-3.6619 -3.0866 1.1913
3.0509 -3.6245 -0.0128
0.9198 0.7573 4.7892
! - formation energy without anion corrections (eV per atom) = 0.7623
! - total energy (eV per atom) = -2.56

12.
! NaMg2SiS4 (PBE-GGA, relaxed); values from VASP
&SYSTEM
  ibrav = 0, nat = 8, ntyp = 4
/
ATOMIC_SPECIES
Na 22.99 Na.upf
Mg 24.30 Mg.upf
Si 28.09 Si.upf
S 32.06 S.upf
ATOMIC_POSITIONS angstrom
Na 0.0009 0.0012 0.0024
Mg -1.8100 2.4006 2.6413
Mg -0.0517 -1.2567 3.7983
Si 1.7222 2.2581 4.5155
S -0.2927 1.1937 4.2147
S -2.3731 -2.1493 3.5797
S -3.9197 1.0678 2.5620
S 2.8623 2.1749 2.5219
CELL_PARAMETERS angstrom
-5.3425 2.5427 0.7662
-1.8260 -4.7721 3.0801
5.3067 3.3730 2.5927
! - formation energy without anion corrections (eV per atom) = -0.9203
! - total energy (eV per atom) = -4.23

13.
! Na3Mg2SnS6 (PBE-GGA, relaxed); values from VASP
&SYSTEM
  ibrav = 0, nat = 12, ntyp = 4
/
ATOMIC_SPECIES
Na 22.99 Na.upf
Mg 24.30 Mg.upf
Sn 118.71 Sn.upf
S 32.06 S.upf
ATOMIC_POSITIONS angstrom
Na -4.4836 -2.7017 1.6752
Na -3.4471 3.9351 -1.6855
Na -3.9653 0.6167 -0.0051
Mg -2.1584 -2.5964 -1.6055
Mg -1.6413 0.7148 -3.2822
Sn 0.0000 0.0000 0.0000
S -5.8771 2.6348 -0.7393
S -3.7155 -0.7254 -2.5784
S -2.0535 -1.4014 0.7291
S -6.3871 -0.6308 0.9143
S -4.2151 1.9588 2.5682
S -1.5435 1.8642 -0.9245
CELL_PARAMETERS angstrom
-1.1251 4.0198 -4.9558
-2.6745 -5.9014 0.0681
-4.1310 3.1150 4.8774
! - formation energy without anion corrections (eV per atom) = -0.9835
! - total energy (eV per atom) = -3.98

14.
! NaMg2SnS (PBE-GGA, relaxed); values from VASP
&SYSTEM
  ibrav = 0, nat = 5, ntyp = 4
/
ATOMIC_SPECIES
Mg 24.30 Mg.upf
Na 22.99 Na.upf
S 32.06 S.upf
Sn 118.71 Sn.upf
ATOMIC_POSITIONS angstrom
Mg 0.0000 0.0000 2.4512
Mg 2.4512 0.0000 0.0000
Na 0.0000 2.5352 0.0000
S 0.0000 0.0000 0.0000
Sn 2.4512 2.5352 2.4512
CELL_PARAMETERS angstrom
4.9024 0.0000 0.0000
0.0000 5.0703 0.0000
0.0000 0.0000 4.9024
! - formation energy without anion corrections (eV per atom) = -0.3931
! - total energy (eV per atom) = -2.92

15.
! Na4MgSn3S8 (PBE-GGA, relaxed); values from VASP
&SYSTEM
  ibrav = 0, nat = 16, ntyp = 4
/
ATOMIC_SPECIES
Na 22.99 Na.upf
Mg 24.30 Mg.upf
Sn 118.71 Sn.upf
S 32.06 S.upf
ATOMIC_POSITIONS angstrom
Na 3.8460 0.0000 0.0000
Na 1.9230 -1.9205 2.7210
Na 0.0000 0.0000 0.0000
Na -1.9230 -1.9205 2.7210
Mg 0.0000 4.0419 0.1338
Sn 3.8460 4.0419 0.1338
Sn 1.9230 2.1215 2.8548
Sn -1.9230 2.1215 2.8548
S -1.9511 2.0370 5.5329
S 0.0000 3.9851 2.7726
S 0.0000 0.2219 2.8705
S 1.9511 2.0370 5.5329
S 1.8949 2.2059 0.1767
S 3.8460 4.0210 2.8391
S 3.8460 0.2579 2.9370
S 5.7971 2.2059 0.1767
CELL_PARAMETERS angstrom
7.6920 0.0000 0.0000
0.0000 8.0838 0.2677
-3.8460 -3.8409 5.4419
! - formation energy without anion corrections (eV per atom) = -0.8449
! - total energy (eV per atom) = -4.09

16.
! Na2MgSn2S6 (PBE-GGA, relaxed); values from VASP
&SYSTEM
  ibrav = 0, nat = 11, ntyp = 4
/
ATOMIC_SPECIES
Na 22.99 Na.upf
Mg 24.30 Mg.upf
Sn 118.71 Sn.upf
S 32.06 S.upf
ATOMIC_POSITIONS angstrom
Na -4.4392 -2.1623 -0.5153
Na 1.9378 -1.2565 -4.3948
Mg 1.6758 -2.3051 2.2164
Sn 2.0286 -3.7868 -1.2141
Sn -1.1785 -4.2423 0.7369
S 0.5314 -5.7666 -0.4730
S 3.4261 -3.8786 0.9905
S 0.3188 -2.2624 -0.0043
S 0.1567 -4.3430 2.9794
S -2.5760 -4.1505 -1.4677
S 0.6934 -3.6861 -3.4566
CELL_PARAMETERS angstrom
-6.0192 -2.3868 0.4458
3.5178 -1.0321 -5.3560
3.3516 -4.6102 4.4329
! - formation energy without anion corrections (eV per atom) = -0.8448
! - total energy (eV per atom) = -4.21

17.
! Na3MgSn3S8 (PBE-GGA, relaxed); values from VASP
&SYSTEM
  ibrav = 0, nat = 15, ntyp = 4
/
ATOMIC_SPECIES
Na 22.99 Na.upf
Mg 24.30 Mg.upf
Sn 118.71 Sn.upf
S 32.06 S.upf
ATOMIC_POSITIONS angstrom
Na 0.0000 0.0000 0.0000
Na 2.9094 -0.2456 2.3981
Na 2.4978 -2.8141 -0.3425
Mg -3.7052 -0.9257 1.4241
Sn -4.1168 -3.4943 -1.3165
Sn -1.2074 -3.7399 1.0816
Sn -0.7958 -1.1713 3.8222
S 0.7462 -2.0874 1.8443
S -3.1610 -5.3923 0.3189
S 0.2919 -4.7181 -0.8316
S -2.7067 -2.7616 2.9948
S -2.6281 -4.4805 -3.2398
S 0.2133 -2.9992 5.4030
S -2.2134 -1.8930 -0.4790
S -0.2014 -5.5867 2.6422
CELL_PARAMETERS angstrom
-0.8232 -5.1371 -5.4812
5.8189 -0.4911 4.7961
-7.4105 -1.8515 2.8482
! - formation energy without anion corrections (eV per atom) = -0.7857
! - total energy (eV per atom) = -4.16

18.
! Na2MgTeS4 (PBE-GGA, relaxed); values from VASP
&SYSTEM
  ibrav = 0, nat = 16, ntyp = 4
/
ATOMIC_SPECIES
Na 22.99 Na.upf
Mg 24.30 Mg.upf
Te 127.60 Te.upf
S 32.06 S.upf
ATOMIC_POSITIONS angstrom
Na 3.9181 0.0041 -0.0271
Na 1.9729 -1.9424 2.7716
Na -1.9452 -1.9465 2.7987
Na 3.9194 3.9221 -0.0543
Mg 0.0014 3.9180 -0.0271
Mg 5.8923 1.9798 2.7172
Te 1.9742 1.9756 2.7444
Te 3.9458 -3.8848 5.5432
S -2.0861 1.9752 5.4260
S 3.9434 0.1756 2.8616
S 0.0051 3.7756 2.6272
S 6.0347 1.9761 0.0629
S 2.1104 1.9788 5.4379
S 3.9454 3.8151 2.7954
S 0.0031 0.1362 2.6935
S 1.8381 1.9725 0.0510
CELL_PARAMETERS angstrom
7.8361 0.0082 -0.0543
0.0027 7.8361 -0.0543
-3.8903 -3.8930 5.5975
! - formation energy without anion corrections (eV per atom) = -0.8073
! - total energy (eV per atom) = -3.79

19.
! NaMgTl2S4 (PBE-GGA, relaxed); values from VASP
&SYSTEM
  ibrav = 0, nat = 8, ntyp = 4
/
ATOMIC_SPECIES
Na 22.99 Na.upf
Mg 24.30 Mg.upf
Tl 204.38 Tl.upf
S 32.06 S.upf
ATOMIC_POSITIONS angstrom
Na 0.0000 0.0000 0.1509
Mg 2.9048 3.1567 0.0207
Tl 3.1957 -0.0259 2.8146
Tl -0.2909 3.1826 2.8146
S 1.3622 1.4803 3.9946
S 1.3089 4.6253 1.2104
S 4.5008 1.6880 1.2104
S -1.3622 -1.4803 3.9946
CELL_PARAMETERS angstrom
6.3915 -0.0518 0.0000
-0.5818 6.3652 0.0000
-2.9048 -3.1567 5.4025
! - formation energy without anion corrections (eV per atom) = -0.6299
! - total energy (eV per atom) = -3.65

20.
! Na2MgUS4 (PBE-GGA, relaxed); values from VASP
&SYSTEM
  ibrav = 0, nat = 8, ntyp = 4
/
ATOMIC_SPECIES
Na 22.99 Na.upf
Mg 24.30 Mg.upf
U 238.03 U.upf
S 32.06 S.upf
ATOMIC_POSITIONS angstrom
Na 1.9646 -1.1717 3.3183
Na 0.0000 2.1603 3.3690
Mg 0.0000 0.0000 0.0000
U 1.9646 3.3320 0.0507
S 1.9646 1.0690 1.4595
S 1.9646 3.2516 5.2784
S 0.0000 -0.1078 5.1578
S 0.0000 4.4285 1.5801
CELL_PARAMETERS angstrom
3.9293 0.0000 0.0000
0.0000 6.6639 0.1015
0.0000 -2.3433 6.6365
! - formation energy without anion corrections (eV per atom) = -1.3646
! - total energy (eV per atom) = -5.37